1.
## NdFe2H7 (PBE-GGA)

Data for a relaxed NdFe2H7 crystal.

a = 4.9113 Å, b = 4.9113 Å, c = 3.5241 Å
α = 90.00°, β = 90.00°, γ = 118.66°
Last column: nearest neighbours and their distance in Å.
Element x y z (fractional)
Nd: 0.0000 0.0000 0.0000  8 H 2.34
Fe: 0.3080 0.6920 0.5000  7 H 1.62-1.76
Fe: 0.6920 0.3080 0.5000  7 H 1.62-1.76
H: 0.0392 0.3307 0.5000  2 Fe 1.63-1.65
H: 0.3109 0.6891 0.0000  2 Fe 1.76
H: 0.3307 0.0392 0.5000  2 Fe 1.63-1.65
H: 0.5000 0.5000 0.5000  2 Fe 1.62
H: 0.6693 0.9608 0.5000  2 Fe 1.63-1.65
H: 0.6891 0.3109 0.0000  2 Fe 1.76
H: 0.9608 0.6693 0.5000  2 Fe 1.63-1.65

Results
Space group ... Cmmm, No. 65
Calculated volume ... 74.6 Å³ per cell
Final energy ... -4.671 eV per atom


2.
## La2ScInIr (PBE-GGA)

Data for a relaxed La2ScInIr crystal.

a = 5.5778 Å, b = 5.5778 Å, c = 5.1163 Å
α = 90.00°, β = 90.00°, γ = 90.00°
Last column: nearest neighbours and their distance in Å.
Element x y z (fractional)
La: 0.0000 0.5000 0.0000  2 Ir 2.79
La: 0.5000 0.0000 0.0000  2 Ir 2.79
Sc: 0.0000 0.0000 0.5000  2 Ir 2.56
In: 0.5000 0.5000 0.5000  8 La 3.78, 4 Sc 3.94
Ir: 0.0000 0.0000 0.0000  2 Sc 2.56, 4 La 2.79

Results
Space group ... P4/mmm, No. 123
DFT formation energy ... -40.4 kJ per mole of atoms
Calculated volume ... 159.2 Å³ per cell
Final energy ... -5.976 eV per atom


3.
## CaZn3Ge (PBE-GGA)

Data for a relaxed CaZn3Ge crystal.

a = 5.4055 Å, b = 5.4055 Å, c = 5.4055 Å
α = 90.00°, β = 90.00°, γ = 90.00°
Last column: nearest neighbours and their distance in Å.
Element x y z (fractional)
Ca: 0.0000 0.0000 0.0000  6 Zn 2.70
Zn: 0.0000 0.0000 0.5000  2 Ca 2.70
Zn: 0.0000 0.5000 0.0000  2 Ca 2.70
Zn: 0.5000 0.0000 0.0000  2 Ca 2.70
Ge: 0.5000 0.5000 0.5000  12 Zn 3.82

Results
Space group ... Pm-3m, No. 221
DFT formation energy ... 98.2 kJ per mole of atoms
Relative energy among the computed polymorphs ... 849 meV per atom
Calculated volume ... 157.9 Å³ per cell
Final energy ... -1.070 eV per atom


4.
## Pr5Nd5Ge6 (PBE-GGA)

Data for a relaxed Pr5Nd5Ge6 crystal.

a = 6.7487 Å, b = 8.8839 Å, c = 8.8839 Å
α = 119.93°, β = 90.00°, γ = 90.00°
Last column: nearest neighbours and their distance in Å.
Element x y z (fractional)
Pr: 0.0000 0.0000 0.0000  3 Ge 3.06-3.20
Pr: 0.0000 0.5069 0.7528  3 Ge 3.06-3.20
Pr: 0.0000 0.7528 0.5069  3 Ge 3.06-3.20
Pr: 0.5000 0.9996 0.7534  3 Ge 3.06-3.21
Pr: 0.5000 0.7534 0.9996  3 Ge 3.06-3.21
Nd: 0.2501 0.0864 0.4199  6 Ge 3.21-3.22, 2 Nd 3.37-3.38
Nd: 0.2501 0.4199 0.0864  6 Ge 3.21-3.22, 2 Nd 3.37-3.38
Nd: 0.5000 0.5056 0.5056  3 Ge 3.04-3.19
Nd: 0.7499 0.0864 0.4199  6 Ge 3.21-3.22, 2 Nd 3.37-3.38
Nd: 0.7499 0.4199 0.0864  6 Ge 3.21-3.22, 2 Nd 3.37-3.38
Ge: 0.0000 0.1463 0.7530  3 Pr 3.06-3.20, 4 Nd 3.21-3.22
Ge: 0.0000 0.3597 0.3597  3 Pr 3.06-3.20, 4 Nd 3.21
Ge: 0.0000 0.7530 0.1463  3 Pr 3.06-3.20, 4 Nd 3.21-3.22
Ge: 0.5000 0.1472 0.1472  2 Pr 3.06, 5 Nd 3.19-3.21
Ge: 0.5000 0.3607 0.7521  5 Nd 3.04-3.22, 2 Pr 3.06-3.21
Ge: 0.5000 0.7521 0.3607  5 Nd 3.04-3.22, 2 Pr 3.06-3.21

Results
Space group ... Amm2, No. 38
DFT formation energy ... -67.3 kJ per mole of atoms
Calculated volume ... 461.6 Å³ per cell
Final energy ... -5.413 eV per atom


5.
## Nb3CrFe (PBE-GGA)

Data for a relaxed Nb3CrFe crystal.

a = 4.5361 Å, b = 4.5361 Å, c = 4.5361 Å
α = 90.00°, β = 90.00°, γ = 90.00°
Last column: nearest neighbours and their distance in Å.
Element x y z (fractional)
Nb: 0.0000 0.0000 0.5000  2 Cr 2.27
Nb: 0.0000 0.5000 0.0000  2 Cr 2.27
Nb: 0.5000 0.0000 0.0000  2 Cr 2.27
Cr: 0.0000 0.0000 0.0000  6 Nb 2.27
Fe: 0.5000 0.5000 0.5000  12 Nb 3.21

Results
Space group ... Pm-3m, No. 221
DFT formation energy ... 121.5 kJ per mole of atoms
Relative energy among the computed polymorphs ... 181 meV per atom
Calculated volume ... 93.3 Å³ per cell
Final energy ... -8.400 eV per atom


6.
## ZrU2NbN4 (PBE-GGA)

Data for a relaxed ZrU2NbN4 crystal.

a = 5.7229 Å, b = 3.3398 Å, c = 5.7475 Å
α = 90.00°, β = 109.54°, γ = 90.00°
Last column: nearest neighbours and their distance in Å.
Element x y z (fractional)
Zr: 0.0000 0.0000 0.0000  6 N 2.32
U: 0.5000 0.0000 0.5000  6 N 2.37-2.38
U: 0.5000 0.5000 0.0000  6 N 2.39-2.40
Nb: 0.0000 0.5000 0.5000  6 N 2.29-2.30
N: 0.2363 0.0000 0.7423  2 Nb 2.30, 1 Zr 2.32, 3 U 2.37-2.40
N: 0.2380 0.5000 0.2484  1 Nb 2.29, 2 Zr 2.32, 3 U 2.38-2.39
N: 0.7620 0.5000 0.7516  1 Nb 2.29, 2 Zr 2.32, 3 U 2.38-2.39
N: 0.7637 0.0000 0.2577  2 Nb 2.30, 1 Zr 2.32, 3 U 2.37-2.40

Results
Space group ... P2/m, No. 10
Formation energy without anion corrections ... -1.3800 eV/atom
Calculated volume ... 103.5 Å³ per cell
Final energy ... -10.692 eV per atom